Here is crystalline Pm5Sc2Tl4 at its relaxed geometry from Alexandria via LeMat-Bulk. Energies are from PBE.

Cell lengths 11.565, 11.565, 11.565 Å; angles 161.63, 135.91, 48.14 degrees
Atoms (fractional coordinates):
Pm 0.000 0.000 0.000
Pm 0.055 0.347 0.707
Pm 0.360 0.653 0.707
Pm 0.640 0.347 0.293
Pm 0.945 0.653 0.293
Sc 0.417 0.917 0.500
Sc 0.583 0.083 0.500
Tl 0.280 0.780 0.500
Tl 0.299 0.500 0.799
Tl 0.701 0.500 0.201
Tl 0.720 0.220 0.500

E_form (eV/atom): -0.134
VASP energy (eV/atom): -4.305
Volume (Å³ per cell): 338